8
Lattice="7.1209 0.0000 0.0000 0.0000 4.1165 0.0000 -2.3751 0.0000 6.7200" Properties=species:S:1:pos:R:3 comment="GGA-PBE LaPrHo2P4, optimized geometry" mass_density_kg_m3=6184 delta_e_f_ev_per_fu=-12.52 pbc="T T T"
La 0.0000 0.0000 0.0000
Pr -1.1876 2.0583 3.3600
Ho 2.3729 0.0000 3.3600
Ho 3.5605 2.0583 0.0000
P 0.0875 0.0000 5.0646
P 1.2751 2.0583 1.7186
P 4.6583 0.0000 1.6554
P 3.4707 2.0583 5.0015



8
Lattice="7.2489 0.0000 0.0000 0.0000 4.1896 0.0000 -2.4137 0.0000 6.8385" Properties=species:S:1:pos:R:3 comment="GGA-PBE La2PrHoP4, optimized geometry" mass_density_kg_m3=5657 delta_e_f_ev_per_fu=-12.43 pbc="T T T"
La 0.0000 0.0000 0.0000
La 3.6244 2.0948 0.0000
Pr -1.2069 2.0948 3.4193
Ho 2.4176 0.0000 3.4193
P 0.0448 0.0000 5.0836
P 1.2499 2.0948 1.7818
P 3.5852 2.0948 5.0567
P 4.7903 0.0000 1.7549



8
Lattice="7.1353 0.0000 0.0000 0.0000 4.1362 0.0000 -2.3849 0.0000 6.7501" Properties=species:S:1:pos:R:3 comment="GGA-PBE La2HoPuP4, optimized geometry" mass_density_kg_m3=6757 delta_e_f_ev_per_fu=-11.60 pbc="T T T"
La 0.0000 0.0000 0.0000
La 3.5677 2.0681 0.0000
Ho -1.1925 2.0681 3.3751
Pu 2.3752 0.0000 3.3751
P 0.0064 0.0000 4.9491
P 1.1996 2.0681 1.8179
P 3.5508 2.0681 4.9322
P 4.7440 0.0000 1.8010



8
Lattice="7.0166 0.0000 0.0000 0.0000 4.0687 0.0000 -2.3609 0.0000 6.6262" Properties=species:S:1:pos:R:3 comment="GGA-PBE LaHoPu2P4, optimized geometry" mass_density_kg_m3=8039 delta_e_f_ev_per_fu=-10.52 pbc="T T T"
La 0.0000 0.0000 0.0000
Ho -1.1805 2.0343 3.3131
Pu 2.3279 0.0000 3.3131
Pu 3.5083 2.0343 0.0000
P 0.0515 0.0000 4.9421
P 1.2306 2.0343 1.7535
P 3.4251 2.0343 4.8726
P 4.6042 0.0000 1.6840



8
Lattice="7.0221 0.0000 0.0000 0.0000 4.0685 0.0000 -2.3497 0.0000 6.6323" Properties=species:S:1:pos:R:3 comment="GGA-PBE LaHo2PuP4, optimized geometry" mass_density_kg_m3=7332 delta_e_f_ev_per_fu=-11.65 pbc="T T T"
La 0.0000 0.0000 0.0000
Ho 2.3362 0.0000 3.3162
Ho 3.5111 2.0343 0.0000
Pu -1.1748 2.0343 3.3162
P 0.0331 0.0000 4.9245
P 1.2088 2.0343 1.7337
P 3.4637 2.0343 4.8987
P 4.6393 0.0000 1.7078



9
Lattice="4.1505 0.0000 0.0000 0.0000 4.1505 0.0000 0.0000 0.0000 8.9058" Properties=species:S:1:pos:R:3 comment="GGA-PBE LaHoP2Rh5, optimized geometry" mass_density_kg_m3=9528 delta_e_f_ev_per_fu=-9.09 pbc="T T T"
La 0.0000 0.0000 0.0000
Ho 0.0000 0.0000 4.4529
P 2.0753 2.0753 1.4060
P 2.0753 2.0753 7.4998
Rh 0.0000 2.0753 2.3805
Rh 0.0000 2.0753 6.5254
Rh 2.0753 0.0000 2.3805
Rh 2.0753 0.0000 6.5254
Rh 2.0753 2.0753 4.4529



4
Lattice="2.0343 1.1745 6.7033 -2.0343 1.1745 6.7033 0.0000 -2.3490 6.7033" Properties=species:S:1:pos:R:3 comment="GGA-PBE LaHoPS, optimized geometry" mass_density_kg_m3=6340 e_form_raw_ev_per_atom=-1.8848 pbc="T T T"
La 0.0000 0.0000 0.0000
Ho 0.0000 0.0000 10.1562
P 0.0000 0.0000 4.9614
S 0.0000 0.0000 15.2554



8
Lattice="7.0505 0.0000 0.0000 0.0000 4.0847 0.0000 -2.3599 0.0000 6.6593" Properties=species:S:1:pos:R:3 comment="GGA-PBE La2HoScP4, optimized geometry" mass_density_kg_m3=5295 delta_e_f_ev_per_fu=-12.14 pbc="T T T"
La 0.0000 0.0000 0.0000
La -1.1799 2.0424 3.3297
Ho 2.3453 0.0000 3.3297
Sc 3.5252 2.0424 0.0000
P 1.3113 2.0424 1.6697
P 0.1283 0.0000 5.0866
P 4.5623 0.0000 1.5728
P 3.3793 2.0424 4.9897



4
Lattice="2.0633 1.1913 6.9077 -2.0633 1.1913 6.9077 0.0000 -2.3825 6.9077" Properties=species:S:1:pos:R:3 comment="GGA-PBE LaHoPSe, optimized geometry" mass_density_kg_m3=6744 e_form_raw_ev_per_atom=-1.8106 pbc="T T T"
La 0.0000 0.0000 0.0000
Ho 0.0000 0.0000 10.0921
P 0.0000 0.0000 15.5294
Se 0.0000 0.0000 4.9293



12
Lattice="3.5490 -6.1469 0.0000 3.5490 6.1469 0.0000 -2.3664 0.0000 6.6911" Properties=species:S:1:pos:R:3 comment="GGA-PBE LaSm3Ho2P6, optimized geometry" mass_density_kg_m3=6289 delta_e_f_ev_per_fu=-18.86 pbc="T T T"
La 0.0000 0.0000 0.0000
Sm 2.3658 4.1133 3.3455
Sm 2.3658 0.0000 3.3455
Sm 2.3658 -4.1133 3.3455
Ho 3.5490 2.0544 0.0000
Ho 3.5490 -2.0544 0.0000
P 1.2116 2.0982 1.6594
P 0.0567 0.0000 5.0389
P 1.2116 -2.0982 1.6594
P 3.5200 2.0982 5.0317
P 4.6749 0.0000 1.6522
P 3.5200 -2.0982 5.0317



12
Lattice="3.5962 -6.2286 0.0000 3.5962 6.2286 0.0000 -2.3969 0.0000 6.7813" Properties=species:S:1:pos:R:3 comment="GGA-PBE La3SmHo2P6, optimized geometry" mass_density_kg_m3=5918 delta_e_f_ev_per_fu=-18.88 pbc="T T T"
La 0.0000 0.0000 0.0000
La 3.5962 2.0688 0.0000
La 3.5962 -2.0688 0.0000
Sm 2.3978 0.0000 3.3906
Ho 2.3978 4.1496 3.3906
Ho 2.3978 -4.1496 3.3906
P 1.1846 2.1007 1.7796
P -0.0282 0.0000 4.9979
P 1.1846 -2.1007 1.7796
P 3.6110 2.1007 5.0017
P 4.8238 0.0000 1.7834
P 3.6110 -2.1007 5.0017



8
Lattice="7.2063 0.0000 0.0000 0.0000 4.1640 0.0000 -2.3993 0.0000 6.7971" Properties=species:S:1:pos:R:3 comment="GGA-PBE La2SmHoP4, optimized geometry" mass_density_kg_m3=5837 delta_e_f_ev_per_fu=-12.57 pbc="T T T"
La 0.0000 0.0000 0.0000
La 3.6032 2.0820 0.0000
Sm -1.1996 2.0820 3.3985
Ho 2.4035 0.0000 3.3985
P 0.0253 0.0000 5.0281
P 1.2254 2.0820 1.7847
P 3.5816 2.0820 5.0124
P 4.7817 0.0000 1.7690



Copy entry 4 word for word.
8
Lattice="7.0166 0.0000 0.0000 0.0000 4.0687 0.0000 -2.3609 0.0000 6.6262" Properties=species:S:1:pos:R:3 comment="GGA-PBE LaHoPu2P4, optimized geometry" mass_density_kg_m3=8039 delta_e_f_ev_per_fu=-10.52 pbc="T T T"
La 0.0000 0.0000 0.0000
Ho -1.1805 2.0343 3.3131
Pu 2.3279 0.0000 3.3131
Pu 3.5083 2.0343 0.0000
P 0.0515 0.0000 4.9421
P 1.2306 2.0343 1.7535
P 3.4251 2.0343 4.8726
P 4.6042 0.0000 1.6840